1.
# LiTeP2, relaxed, DFT GGA-PBEsol
# Energy, eV for the cell shown: -16.5
# Raw formation energy, kJ/mol of atoms: 14.5
# Total moment, μB per formula unit: 0.0
# Crystal system: tetragonal
data_LiTeP2
_chemical_formula_sum 'Li1 Te1 P2'
_space_group_name_H-M_alt 'P 4/m m m'
_space_group_IT_number 123
_space_group_name_Hall '-P 4 2'
_cell_length_a 3.762
_cell_length_b 3.762
_cell_length_c 4.975
_cell_angle_alpha 90.00
_cell_angle_beta 90.00
_cell_angle_gamma 90.00
loop_
_atom_site_label
_atom_site_type_symbol
_atom_site_fract_x
_atom_site_fract_y
_atom_site_fract_z
_atom_site_occupancy
Li1 Li 0.000 0.000 0.000 1
Te1 Te 0.500 0.500 0.000 1
P1 P 0.000 0.500 0.500 1

***

2.
# Li2TeP, relaxed, DFT GGA-PBEsol
# Energy, eV for the cell shown: -54.9
# Raw formation energy, kJ/mol of atoms: -11.4
# Energy relative to the lowest polymorph listed for this composition, meV/atom: 314
# Total moment, μB per formula unit: 0.0
# Crystal system: cubic
data_Li2TeP
_chemical_formula_sum 'Li8 Te4 P4'
_space_group_name_H-M_alt 'F -4 3 m'
_space_group_IT_number 216
_space_group_name_Hall 'F -4 2 3'
_cell_length_a 6.720
_cell_length_b 6.720
_cell_length_c 6.720
_cell_angle_alpha 90.00
_cell_angle_beta 90.00
_cell_angle_gamma 90.00
loop_
_atom_site_label
_atom_site_type_symbol
_atom_site_fract_x
_atom_site_fract_y
_atom_site_fract_z
_atom_site_occupancy
Li1 Li 0.000 0.000 0.000 1
Li2 Li 0.250 0.250 0.250 1
Te1 Te 0.000 0.000 0.500 1
P1 P 0.250 0.250 0.750 1

***

3.
# LiTeP2, relaxed, DFT GGA-PBEsol
# Energy, eV for the cell shown: -17.6
# Raw formation energy, kJ/mol of atoms: -13.3
# Total moment, μB per formula unit: 0.0
# Crystal system: tetragonal
data_LiTeP2
_chemical_formula_sum 'Li1 Te1 P2'
_space_group_name_H-M_alt 'P 4 m m'
_space_group_IT_number 99
_cell_length_a 3.101
_cell_length_b 3.101
_cell_length_c 7.916
_cell_angle_alpha 90.00
_cell_angle_beta 90.00
_cell_angle_gamma 90.00
loop_
_space_group_symop_operation_xyz
'x,y,z'
'-y,x,z'
'-x,-y,z'
'y,-x,z'
'-x,y,z'
'y,x,z'
'x,-y,z'
'-y,-x,z'
loop_
_atom_site_label
_atom_site_type_symbol
_atom_site_fract_x
_atom_site_fract_y
_atom_site_fract_z
_atom_site_occupancy
Li1 Li 0.000 0.000 0.000 1
Te1 Te 0.500 0.500 0.723 1
P1 P 0.000 0.000 0.344 1
P2 P 0.500 0.500 0.234 1

***

> Which value of total moment does entry 2 give?

0.0 μB per formula unit